[1]
# MgV3Hg

An optimized crystal structure of MgV3Hg (PBE-GGA, Alexandria).

Calculated values
Its space-group type is No. 221. The energy above the most stable polymorph in this dataset comes out at 134 meV per atom. The total magnetization comes out at 0.586 μB per atom. Its formation energy is 1.6839 eV per atom. The volume comes out at 19.12 A^3/atom. Its electronic total energy is -20.8 eV per cell.

a = 4.573 Å, b = 4.573 Å, c = 4.573 Å
α = 90.00°, β = 90.00°, γ = 90.00°
Fractional positions:
Mg 0.000 0.000 0.000
V 0.000 0.000 0.500
V 0.000 0.500 0.000
V 0.500 0.000 0.000
Hg 0.500 0.500 0.500

***

[2]
# Rb2TeAs2

An optimized crystal structure of Rb2TeAs2 (PBE-GGA, Alexandria).

Calculated values
Its space-group type is No. 127. The total magnetization comes out at 0.000 μB per atom. The volume comes out at 37.22 A^3/atom. The uncorrected formation energy is -0.3091 eV/atom. Its electronic total energy is -31.8 eV per cell.

a = 9.661 Å, b = 9.661 Å, c = 3.987 Å
α = 90.00°, β = 90.00°, γ = 90.00°
Fractional positions:
Rb 0.211 0.289 0.000
Rb 0.289 0.789 0.000
Rb 0.711 0.211 0.000
Rb 0.789 0.711 0.000
Te 0.000 0.000 0.500
Te 0.500 0.500 0.500
As 0.080 0.580 0.500
As 0.420 0.080 0.500
As 0.580 0.920 0.500
As 0.920 0.420 0.500

***

[3]
# LaPrHg6

An optimized crystal structure of LaPrHg6 (PBE-GGA, Alexandria).

Calculated values
Its space-group type is No. 38. The total magnetization comes out at 0.000 μB per atom. Its formation energy is -0.4150 eV per atom. The volume comes out at 26.16 A^3/atom. Its electronic total energy is -14.8 eV per cell.

a = 5.092 Å, b = 6.879 Å, c = 6.879 Å
α = 60.31°, β = 90.00°, γ = 90.00°
Fractional positions:
La 0.000 0.000 0.000
Pr 0.500 0.674 0.674
Hg 0.000 0.014 0.494
Hg 0.000 0.494 0.014
Hg 0.000 0.503 0.503
Hg 0.500 0.173 0.173
Hg 0.500 0.180 0.657
Hg 0.500 0.657 0.180

***

[4]
# Li8PmAl4

An optimized crystal structure of Li8PmAl4 (PBE-GGA, Alexandria).

Calculated values
Its space-group type is No. 139. The total magnetization comes out at 0.000 μB per atom. Its formation energy is -0.1368 eV per atom. The volume comes out at 18.46 A^3/atom. Its electronic total energy is -36.8 eV per cell.

a = 7.158 Å, b = 7.158 Å, c = 7.158 Å
α = 98.45°, β = 98.45°, γ = 134.91°
Fractional positions:
Li 0.000 0.219 0.219
Li 0.000 0.781 0.781
Li 0.153 0.500 0.653
Li 0.219 0.000 0.219
Li 0.500 0.153 0.653
Li 0.500 0.847 0.347
Li 0.781 0.000 0.781
Li 0.847 0.500 0.347
Pm 0.500 0.500 0.000
Al 0.000 0.000 0.500
Al 0.000 0.500 0.000
Al 0.500 0.000 0.000
Al 0.500 0.500 0.500

***

[5]
# Zr2AlOs

An optimized crystal structure of Zr2AlOs (PBE-GGA, Alexandria).

Calculated values
Its space-group type is No. 123. The total magnetization comes out at 0.000 μB per atom. Its formation energy is -0.3911 eV per atom. The volume comes out at 18.38 A^3/atom. Its electronic total energy is -33.6 eV per cell.

a = 4.485 Å, b = 4.485 Å, c = 3.654 Å
α = 90.00°, β = 90.00°, γ = 90.00°
Fractional positions:
Zr 0.000 0.500 0.000
Zr 0.500 0.000 0.000
Al 0.000 0.000 0.500
Os 0.500 0.500 0.500

***

[6]
# TlCuSe

An optimized crystal structure of TlCuSe (PBE-GGA, Alexandria).

Calculated values
Its space-group type is No. 11. The total magnetization comes out at 0.000 μB per atom. The volume comes out at 24.00 A^3/atom. The uncorrected formation energy is -0.2372 eV/atom. Its electronic total energy is -21.3 eV per cell.

a = 4.157 Å, b = 4.153 Å, c = 8.349 Å
α = 90.00°, β = 92.38°, γ = 90.00°
Fractional positions:
Tl 0.250 0.250 0.168
Tl 0.750 0.750 0.832
Cu 0.277 0.750 0.500
Cu 0.723 0.250 0.500
Se 0.242 0.250 0.676
Se 0.758 0.750 0.324

***

Please write out number 4 again, unchanged.
# Li8PmAl4

An optimized crystal structure of Li8PmAl4 (PBE-GGA, Alexandria).

Calculated values
Its space-group type is No. 139. The total magnetization comes out at 0.000 μB per atom. Its formation energy is -0.1368 eV per atom. The volume comes out at 18.46 A^3/atom. Its electronic total energy is -36.8 eV per cell.

a = 7.158 Å, b = 7.158 Å, c = 7.158 Å
α = 98.45°, β = 98.45°, γ = 134.91°
Fractional positions:
Li 0.000 0.219 0.219
Li 0.000 0.781 0.781
Li 0.153 0.500 0.653
Li 0.219 0.000 0.219
Li 0.500 0.153 0.653
Li 0.500 0.847 0.347
Li 0.781 0.000 0.781
Li 0.847 0.500 0.347
Pm 0.500 0.500 0.000
Al 0.000 0.000 0.500
Al 0.000 0.500 0.000
Al 0.500 0.000 0.000
Al 0.500 0.500 0.500

***

Repeat the fourth record exactly.
# Li8PmAl4

An optimized crystal structure of Li8PmAl4 (PBE-GGA, Alexandria).

Calculated values
Its space-group type is No. 139. The total magnetization comes out at 0.000 μB per atom. Its formation energy is -0.1368 eV per atom. The volume comes out at 18.46 A^3/atom. Its electronic total energy is -36.8 eV per cell.

a = 7.158 Å, b = 7.158 Å, c = 7.158 Å
α = 98.45°, β = 98.45°, γ = 134.91°
Fractional positions:
Li 0.000 0.219 0.219
Li 0.000 0.781 0.781
Li 0.153 0.500 0.653
Li 0.219 0.000 0.219
Li 0.500 0.153 0.653
Li 0.500 0.847 0.347
Li 0.781 0.000 0.781
Li 0.847 0.500 0.347
Pm 0.500 0.500 0.000
Al 0.000 0.000 0.500
Al 0.000 0.500 0.000
Al 0.500 0.000 0.000
Al 0.500 0.500 0.500

***

Which of these has the highest electronic total energy? LaPrHg6

***

What is the formula in the third record? LaPrHg6